No. 1
# PBE UGa2Ir, optimized geometry
data_UGa2Ir
_chemical_formula_sum 'U1 Ga2 Ir1'
_cell_length_a 3.0088
_cell_length_b 3.0088
_cell_length_c 7.5896
_cell_angle_alpha 90.00
_cell_angle_beta 90.00
_cell_angle_gamma 90.00
_space_group_name_H-M_alt 'P 4/m m m'
_space_group_IT_number 123
_space_group_name_Hall '-P 4 2'
loop_
_atom_site_label
_atom_site_type_symbol
_atom_site_fract_x
_atom_site_fract_y
_atom_site_fract_z
U1 U 0.0000 0.0000 0.0000
Ga1 Ga 0.5000 0.5000 0.2936
Ir1 Ir 0.0000 0.0000 0.5000
# ΔH_f (0 K) = -0.249 eV/atom

No. 2
# PBE AlCd2Re, optimized geometry
data_AlCd2Re
_chemical_formula_sum 'Al1 Cd2 Re1'
_cell_length_a 3.5764
_cell_length_b 4.2324
_cell_length_c 4.5923
_cell_angle_alpha 90.00
_cell_angle_beta 90.00
_cell_angle_gamma 90.00
_space_group_name_H-M_alt 'P m m m'
_space_group_IT_number 47
loop_
_space_group_symop_operation_xyz
'x,y,z'
'-x,-y,-z'
'-x,-y,z'
'x,y,-z'
'x,-y,-z'
'-x,y,z'
'-x,y,-z'
'x,-y,z'
loop_
_atom_site_label
_atom_site_type_symbol
_atom_site_fract_x
_atom_site_fract_y
_atom_site_fract_z
Al1 Al 0.0000 0.0000 0.0000
Cd1 Cd 0.0000 0.5000 0.5000
Cd2 Cd 0.5000 0.0000 0.5000
Re1 Re 0.5000 0.5000 0.0000
# ΔH_f (0 K) = 0.419 eV/atom

No. 3
# PBE Nd5Co2Rh, optimized geometry
data_Nd5Co2Rh
_chemical_formula_sum 'Nd20 Co8 Rh4'
_cell_length_a 7.3926
_cell_length_b 7.3926
_cell_length_c 14.4983
_cell_angle_alpha 90.00
_cell_angle_beta 90.00
_cell_angle_gamma 90.00
_space_group_name_H-M_alt 'I 4/m c m'
_space_group_IT_number 140
_space_group_name_Hall '-I 4 2c'
loop_
_atom_site_label
_atom_site_type_symbol
_atom_site_fract_x
_atom_site_fract_y
_atom_site_fract_z
Nd1 Nd 0.0000 0.0000 0.0000
Nd2 Nd 0.1775 0.3225 0.1410
Co1 Co 0.1104 0.3896 0.5000
Rh1 Rh 0.0000 0.0000 0.2500
# ΔH_f (0 K) = -0.223 eV/atom

No. 4
# PBE Cs2RbAu3, optimized geometry
data_Cs2RbAu3
_chemical_formula_sum 'Cs2 Rb1 Au3'
_cell_length_a 4.2996
_cell_length_b 4.2996
_cell_length_c 12.8605
_cell_angle_alpha 90.00
_cell_angle_beta 90.00
_cell_angle_gamma 90.00
_space_group_name_H-M_alt 'P 4/m m m'
_space_group_IT_number 123
_space_group_name_Hall '-P 4 2'
loop_
_atom_site_label
_atom_site_type_symbol
_atom_site_fract_x
_atom_site_fract_y
_atom_site_fract_z
Cs1 Cs 0.0000 0.0000 0.1713
Rb1 Rb 0.0000 0.0000 0.5000
Au1 Au 0.5000 0.5000 0.0000
Au2 Au 0.5000 0.5000 0.3458
# ΔH_f (0 K) = -0.308 eV/atom

No. 5
Compound: Y2HgHRh
Source: the Alexandria database
Functional: PBE
Structure: optimized geometry

CIF file:
```
data_Y2HgHRh
_chemical_formula_sum 'Y2 Hg1 H1 Rh1'
_cell_length_a 5.0892
_cell_length_b 5.0892
_cell_length_c 3.6546
_cell_angle_alpha 90.00
_cell_angle_beta 90.00
_cell_angle_gamma 90.00
_space_group_name_H-M_alt 'P 4/m m m'
_space_group_IT_number 123
_space_group_name_Hall '-P 4 2'
loop_
_atom_site_label
_atom_site_type_symbol
_atom_site_fract_x
_atom_site_fract_y
_atom_site_fract_z
Y1 Y 0.0000 0.5000 0.0000
Hg1 Hg 0.0000 0.0000 0.5000
H1 H 0.5000 0.5000 0.0000
Rh1 Rh 0.5000 0.5000 0.5000
```

No. 6
# PBE Nb2VMo, optimized geometry
data_Nb2VMo
_chemical_formula_sum 'Nb8 V4 Mo4'
_cell_length_a 6.4143
_cell_length_b 6.4143
_cell_length_c 6.4143
_cell_angle_alpha 90.00
_cell_angle_beta 90.00
_cell_angle_gamma 90.00
_space_group_name_H-M_alt 'F m -3 m'
_space_group_IT_number 225
_space_group_name_Hall '-F 4 2 3'
loop_
_atom_site_label
_atom_site_type_symbol
_atom_site_fract_x
_atom_site_fract_y
_atom_site_fract_z
Nb1 Nb 0.2500 0.2500 0.2500
V1 V 0.0000 0.0000 0.0000
Mo1 Mo 0.0000 0.0000 0.5000
# ΔH_f (0 K) = -0.047 eV/atom

No. 7
# PBE PmY2Zr, optimized geometry
data_PmY2Zr
_chemical_formula_sum 'Pm3 Y6 Zr3'
_cell_length_a 3.3875
_cell_length_b 3.3875
_cell_length_c 36.3727
_cell_angle_alpha 90.00
_cell_angle_beta 90.00
_cell_angle_gamma 120.00
_space_group_name_H-M_alt 'R -3 m'
_space_group_IT_number 166
_space_group_name_Hall '-R 3 2"'
loop_
_atom_site_label
_atom_site_type_symbol
_atom_site_fract_x
_atom_site_fract_y
_atom_site_fract_z
Pm1 Pm 0.0000 0.0000 0.0000
Y1 Y 0.0000 0.0000 0.4144
Zr1 Zr 0.0000 0.0000 0.5000
# ΔH_f (0 K) = 0.326 eV/atom

No. 8
# PBE RbHfZr2Sn, optimized geometry
data_RbHfZr2Sn
_chemical_formula_sum 'Rb1 Hf1 Zr2 Sn1'
_cell_length_a 5.5526
_cell_length_b 5.5526
_cell_length_c 5.4698
_cell_angle_alpha 90.00
_cell_angle_beta 90.00
_cell_angle_gamma 90.00
_space_group_name_H-M_alt 'P 4/m m m'
_space_group_IT_number 123
_space_group_name_Hall '-P 4 2'
loop_
_atom_site_label
_atom_site_type_symbol
_atom_site_fract_x
_atom_site_fract_y
_atom_site_fract_z
Rb1 Rb 0.0000 0.0000 0.0000
Hf1 Hf 0.5000 0.5000 0.0000
Zr1 Zr 0.0000 0.5000 0.5000
Sn1 Sn 0.5000 0.5000 0.5000
# ΔH_f (0 K) = 1.128 eV/atom

| no. | total energy (eV/atom) |
| --- | --- |
| 1 | -6.800 |
| 2 | -4.086 |
| 3 | -5.898 |
| 4 | -2.392 |
| 5 | -5.391 |
| 6 | -10.070 |
| 7 | -6.231 |
| 8 | -5.276 |